! Sm6SiSb2Te3 (PBE, relaxed); values from VASP
! Uncorrected formation energy ... -1.270 eV per atom
! Spin magnetization ... 0.0 μB/f.u.
&SYSTEM
  ibrav = 0, nat = 12, ntyp = 4
/
ATOMIC_SPECIES
Sm 150.36 Sm.upf
Si 28.09 Si.upf
Sb 121.76 Sb.upf
Te 127.60 Te.upf
CELL_PARAMETERS angstrom
9.6830 -2.2027 0.0000
9.6830 2.2027 0.0000
-2.0961 0.0000 8.6527
ATOMIC_POSITIONS crystal
Sm 0.0003 0.0003 0.2248
Sm 0.9997 0.9997 0.7752
Sm 0.3325 0.3325 0.4223
Sm 0.3453 0.3453 0.9184
Sm 0.6547 0.6547 0.0816
Sm 0.6675 0.6675 0.5777
Si 0.5000 0.5000 0.0000
Sb 0.1664 0.1664 0.3330
Sb 0.8336 0.8336 0.6670
Te 0.1701 0.1701 0.8348
Te 0.5000 0.5000 0.5000
Te 0.8299 0.8299 0.1652

=====

! SiSnSb2 (PBE, relaxed); values from VASP
! Uncorrected formation energy ... 0.379 eV per atom
! Spin magnetization ... 0.0 μB/f.u.
! Energy relative to the lowest polymorph listed for this composition ... 0.115 eV/atom
&SYSTEM
  ibrav = 0, nat = 4, ntyp = 3
/
ATOMIC_SPECIES
Si 28.09 Si.upf
Sn 118.71 Sn.upf
Sb 121.76 Sb.upf
CELL_PARAMETERS angstrom
0.0000 3.6547 3.6547
3.6547 0.0000 3.6547
3.6547 3.6547 0.0000
ATOMIC_POSITIONS crystal
Si 0.0000 0.0000 0.0000
Sn 0.5000 0.5000 0.5000
Sb 0.2500 0.2500 0.2500
Sb 0.7500 0.7500 0.7500

=====

! SiSn4Sb6 (PBE, relaxed); values from VASP
! Uncorrected formation energy ... 0.122 eV per atom
! Spin magnetization ... 0.0 μB/f.u.
&SYSTEM
  ibrav = 0, nat = 22, ntyp = 3
/
ATOMIC_SPECIES
Si 28.09 Si.upf
Sn 118.71 Sn.upf
Sb 121.76 Sb.upf
CELL_PARAMETERS angstrom
7.1246 -3.9898 0.0000
7.1246 3.9898 0.0000
-5.2673 0.0000 12.9678
ATOMIC_POSITIONS crystal
Si 0.2474 0.7526 0.5000
Si 0.7526 0.2474 0.0000
Sn 0.1784 0.3628 0.2588
Sn 0.3125 0.7994 0.0548
Sn 0.3628 0.1784 0.7588
Sn 0.6813 0.7967 0.4294
Sn 0.7967 0.6813 0.9294
Sn 0.7994 0.3125 0.5548
Sn 0.8795 0.9931 0.2344
Sn 0.9931 0.8795 0.7345
Sb 0.0697 0.1099 0.9357
Sb 0.1012 0.5211 0.4705
Sb 0.1099 0.0697 0.4357
Sb 0.1260 0.6165 0.1112
Sb 0.3609 0.7984 0.6970
Sb 0.5211 0.1012 0.9705
Sb 0.5222 0.5294 0.3943
Sb 0.5294 0.5222 0.8943
Sb 0.5295 0.9671 0.2409
Sb 0.6165 0.1260 0.6112
Sb 0.7984 0.3609 0.1970
Sb 0.9671 0.5295 0.7409